No. 1
Material: CrRePb
Method: DFT, GGA-PBE
State: relaxed

Summary:
Energy above the lowest structure with this stoichiometry (meV per atom): 321
Calculated formation energy (meV per atom): 977
SG: P3m1 (156)
Calculated volume (Å³/f.u.): 52.3
M_tot (μB/cell): 0.3

Cell: 4.2959 4.2959 3.2739 Å, 90.00 90.00 120.00°
Last column: nearest neighbours and their distance in Å.
Element x y z (fractional)
Cr (0.0000, 0.0000, 0.8917)  3 Re 2.50
Pb (0.6667, 0.3333, 0.3210)  6 Cr 2.85-3.11, 6 Re 2.91-3.03
Re (0.3333, 0.6667, 0.7874)  3 Cr 2.50

***

No. 2
Material: CrRe2Pb
Method: DFT, GGA-PBE
State: relaxed

Summary:
Calculated formation energy (meV per atom): 824
SG: Cmmm (65)
Calculated volume (Å³/f.u.): 69.6
M_tot (μB/cell): 0.4

Cell: 2.8157 2.8157 9.5854 Å, 90.00 90.00 113.71°
Last column: nearest neighbours and their distance in Å.
Element x y z (fractional)
Cr (0.5000, 0.5000, 0.2500)  4 Re 2.48
Pb (0.5000, 0.5000, 0.7500)  6 Pb 2.82-3.08
Re (0.0000, 0.0000, 0.0467)  2 Cr 2.48
Re (0.0000, 0.0000, 0.4533)  2 Cr 2.48

***

No. 3
Material: CrRe2Pb
Method: DFT, GGA-PBE
State: relaxed

Summary:
Calculated formation energy (meV per atom): 698
SG: R3m (160)
Calculated volume (Å³/f.u.): 68.5
M_tot (μB/cell): 0.0

Cell: 9.0998 9.0998 9.0998 Å, 18.82 18.82 18.82°
Last column: nearest neighbours and their distance in Å.
Element x y z (fractional)
Cr (0.5130, 0.5130, 0.5130)  3 Re 2.46
Pb (0.7523, 0.7523, 0.7523)  6 Pb 2.98, 3 Cr 3.05, 3 Re 3.10
Re (0.9895, 0.9895, 0.9895)  9 Re 2.70-2.98
Re (0.2452, 0.2452, 0.2452)  3 Cr 2.46, 3 Re 2.70

***

No. 4
Material: CrRe2Pb2
Method: DFT, GGA-PBE
State: relaxed

Summary:
Energy above the lowest structure with this stoichiometry (meV per atom): 342
Calculated formation energy (meV per atom): 1276
SG: P4/mbm (127)
Calculated volume (Å³/f.u.): 102.7
M_tot (μB/cell): 6.2

Cell: 7.9936 7.9936 3.2149 Å, 90.00 90.00 90.00°
Last column: nearest neighbours and their distance in Å.
Element x y z (fractional)
Pb (0.3195, 0.8195, 0.0000)  6 Re 2.86-2.88, 2 Cr 2.93
Pb (0.8195, 0.6805, 0.0000)  6 Re 2.86-2.88, 2 Cr 2.93
Pb (0.6805, 0.1805, 0.0000)  6 Re 2.86-2.88, 2 Cr 2.93
Pb (0.1805, 0.3195, 0.0000)  6 Re 2.86-2.88, 2 Cr 2.93
Re (0.1099, 0.6099, 0.5000)  1 Re 2.49
Re (0.6099, 0.8901, 0.5000)  1 Re 2.49
Re (0.8901, 0.3901, 0.5000)  1 Re 2.49
Re (0.3901, 0.1099, 0.5000)  1 Re 2.49
Cr (0.0000, 0.0000, 0.0000)  4 Pb 2.93, 2 Cr 3.21
Cr (0.5000, 0.5000, 0.0000)  4 Pb 2.93, 2 Cr 3.21